Entry 1:
Computed, not measured: a relaxed structure of Er8NiAg2 at the PBE level of DFT.

The symmetry is Cm, No. 8. For the formation energy from the elements, the calculation gives -13 kJ per mole of atoms. The density of states at the Fermi level is 10.59 states/eV per cell. Its energy above the most stable polymorph in this dataset is 23.5 meV/atom.

Lattice parameters (Å, degrees): 8.7448 8.7448 5.9339 102.76 102.76 130.33
Fractional coordinates of all 11 atoms:
1 Er 0.0000 0.0000 0.0000
2 Er 0.1157 0.8917 0.4873
3 Er 0.3478 0.5759 0.1276
4 Er 0.4579 0.4579 0.6376
5 Er 0.5324 0.9246 0.7959
6 Er 0.5759 0.3478 0.1276
7 Er 0.8917 0.1157 0.4873
8 Er 0.9246 0.5324 0.7959
9 Ni 0.7267 0.7267 0.4853
10 Ag 0.0059 0.4464 0.2947
11 Ag 0.4464 0.0059 0.2947

---

Entry 2:
Computed, not measured: a relaxed structure of ErNiAgPb at the PBE level of DFT.

The symmetry is F-43m, No. 216. For the formation energy from the elements, the calculation gives -19 kJ per mole of atoms. The density of states at the Fermi level is 11.76 states/eV per cell.

Lattice parameters (Å, degrees): 6.8454 6.8454 6.8454 90.00 90.00 90.00
Fractional coordinates of all 16 atoms:
1 Er 0.0000 0.0000 0.0000
2 Er 0.0000 0.5000 0.5000
3 Er 0.5000 0.0000 0.5000
4 Er 0.5000 0.5000 0.0000
5 Ni 0.2500 0.2500 0.2500
6 Ni 0.2500 0.7500 0.7500
7 Ni 0.7500 0.2500 0.7500
8 Ni 0.7500 0.7500 0.2500
9 Ag 0.2500 0.2500 0.7500
10 Ag 0.2500 0.7500 0.2500
11 Ag 0.7500 0.2500 0.2500
12 Ag 0.7500 0.7500 0.7500
13 Pb 0.0000 0.0000 0.5000
14 Pb 0.0000 0.5000 0.0000
15 Pb 0.5000 0.0000 0.0000
16 Pb 0.5000 0.5000 0.5000

---

Entry 3:
Computed, not measured: a relaxed structure of ErNiAgPd at the PBE level of DFT.

The symmetry is F-43m, No. 216. For the formation energy from the elements, the calculation gives -37 kJ per mole of atoms. The density of states at the Fermi level is 10.60 states/eV per cell.

Lattice parameters (Å, degrees): 6.5402 6.5402 6.5402 90.00 90.00 90.00
Fractional coordinates of all 16 atoms:
1 Er 0.0000 0.0000 0.0000
2 Er 0.0000 0.5000 0.5000
3 Er 0.5000 0.0000 0.5000
4 Er 0.5000 0.5000 0.0000
5 Ni 0.2500 0.2500 0.7500
6 Ni 0.2500 0.7500 0.2500
7 Ni 0.7500 0.2500 0.2500
8 Ni 0.7500 0.7500 0.7500
9 Ag 0.0000 0.0000 0.5000
10 Ag 0.0000 0.5000 0.0000
11 Ag 0.5000 0.0000 0.0000
12 Ag 0.5000 0.5000 0.5000
13 Pd 0.2500 0.2500 0.2500
14 Pd 0.2500 0.7500 0.7500
15 Pd 0.7500 0.2500 0.7500
16 Pd 0.7500 0.7500 0.2500

---

Entry 4:
Computed, not measured: a relaxed structure of ErScNiAg at the PBE level of DFT.

The symmetry is F-43m, No. 216. For the formation energy from the elements, the calculation gives -31 kJ per mole of atoms. The density of states at the Fermi level is 13.66 states/eV per cell.

Lattice parameters (Å, degrees): 6.8039 6.8039 6.8039 90.00 90.00 90.00
Fractional coordinates of all 16 atoms:
1 Er 0.0000 0.0000 0.0000
2 Er 0.0000 0.5000 0.5000
3 Er 0.5000 0.0000 0.5000
4 Er 0.5000 0.5000 0.0000
5 Sc 0.0000 0.0000 0.5000
6 Sc 0.0000 0.5000 0.0000
7 Sc 0.5000 0.0000 0.0000
8 Sc 0.5000 0.5000 0.5000
9 Ni 0.2500 0.2500 0.7500
10 Ni 0.2500 0.7500 0.2500
11 Ni 0.7500 0.2500 0.2500
12 Ni 0.7500 0.7500 0.7500
13 Ag 0.2500 0.2500 0.2500
14 Ag 0.2500 0.7500 0.7500
15 Ag 0.7500 0.2500 0.7500
16 Ag 0.7500 0.7500 0.2500

---

Entry 5:
Computed, not measured: a relaxed structure of ErNiAgSn at the PBE level of DFT.

The symmetry is F-43m, No. 216. For the formation energy from the elements, the calculation gives -36 kJ per mole of atoms. The density of states at the Fermi level is 10.20 states/eV per cell.

Lattice parameters (Å, degrees): 6.7255 6.7255 6.7255 90.00 90.00 90.00
Fractional coordinates of all 16 atoms:
1 Er 0.0000 0.0000 0.0000
2 Er 0.0000 0.5000 0.5000
3 Er 0.5000 0.0000 0.5000
4 Er 0.5000 0.5000 0.0000
5 Ni 0.2500 0.2500 0.2500
6 Ni 0.2500 0.7500 0.7500
7 Ni 0.7500 0.2500 0.7500
8 Ni 0.7500 0.7500 0.2500
9 Ag 0.2500 0.2500 0.7500
10 Ag 0.2500 0.7500 0.2500
11 Ag 0.7500 0.2500 0.2500
12 Ag 0.7500 0.7500 0.7500
13 Sn 0.0000 0.0000 0.5000
14 Sn 0.0000 0.5000 0.0000
15 Sn 0.5000 0.0000 0.0000
16 Sn 0.5000 0.5000 0.5000

---

Entry 6:
Computed, not measured: a relaxed structure of ErTlNiAg at the PBE level of DFT.

The symmetry is F-43m, No. 216. For the formation energy from the elements, the calculation gives -14 kJ per mole of atoms. The density of states at the Fermi level is 14.67 states/eV per cell.

Lattice parameters (Å, degrees): 6.7994 6.7994 6.7994 90.00 90.00 90.00
Fractional coordinates of all 16 atoms:
1 Er 0.0000 0.0000 0.0000
2 Er 0.0000 0.5000 0.5000
3 Er 0.5000 0.0000 0.5000
4 Er 0.5000 0.5000 0.0000
5 Tl 0.0000 0.0000 0.5000
6 Tl 0.0000 0.5000 0.0000
7 Tl 0.5000 0.0000 0.0000
8 Tl 0.5000 0.5000 0.5000
9 Ni 0.2500 0.2500 0.2500
10 Ni 0.2500 0.7500 0.7500
11 Ni 0.7500 0.2500 0.7500
12 Ni 0.7500 0.7500 0.2500
13 Ag 0.2500 0.2500 0.7500
14 Ag 0.2500 0.7500 0.2500
15 Ag 0.7500 0.2500 0.2500
16 Ag 0.7500 0.7500 0.7500

---

Entry 7:
Computed, not measured: a relaxed structure of ErTmNiAg at the PBE level of DFT.

The symmetry is F-43m, No. 216. For the formation energy from the elements, the calculation gives -33 kJ per mole of atoms. The density of states at the Fermi level is 14.60 states/eV per cell. Its energy above the most stable polymorph in this dataset is 42.5 meV/atom.

Lattice parameters (Å, degrees): 6.9487 6.9487 6.9487 90.00 90.00 90.00
Fractional coordinates of all 16 atoms:
1 Er 0.0000 0.0000 0.0000
2 Er 0.0000 0.5000 0.5000
3 Er 0.5000 0.0000 0.5000
4 Er 0.5000 0.5000 0.0000
5 Tm 0.0000 0.0000 0.5000
6 Tm 0.0000 0.5000 0.0000
7 Tm 0.5000 0.0000 0.0000
8 Tm 0.5000 0.5000 0.5000
9 Ni 0.2500 0.2500 0.7500
10 Ni 0.2500 0.7500 0.2500
11 Ni 0.7500 0.2500 0.2500
12 Ni 0.7500 0.7500 0.7500
13 Ag 0.2500 0.2500 0.2500
14 Ag 0.2500 0.7500 0.7500
15 Ag 0.7500 0.2500 0.7500
16 Ag 0.7500 0.7500 0.2500

---

Entry 8:
Computed, not measured: a relaxed structure of ErTmNiAg at the PBE level of DFT.

The symmetry is P4mm, No. 99. For the formation energy from the elements, the calculation gives -37 kJ per mole of atoms. The density of states at the Fermi level is 3.92 states/eV per cell. Its energy above the most stable polymorph in this dataset is 0.0 meV/atom.

Lattice parameters (Å, degrees): 3.4298 3.4298 7.1300 90.00 90.00 90.00
Fractional coordinates of all 4 atoms:
1 Er 0.0000 0.0000 0.0000
2 Tm 0.0000 0.0000 0.5467
3 Ni 0.5000 0.5000 0.7716
4 Ag 0.5000 0.5000 0.2757

---

Entry 9:
Computed, not measured: a relaxed structure of YErNiAg at the PBE level of DFT.

The symmetry is F-43m, No. 216. For the formation energy from the elements, the calculation gives -31 kJ per mole of atoms. The density of states at the Fermi level is 13.21 states/eV per cell.

Lattice parameters (Å, degrees): 7.0112 7.0112 7.0112 90.00 90.00 90.00
Fractional coordinates of all 16 atoms:
1 Y 0.0000 0.0000 0.0000
2 Y 0.0000 0.5000 0.5000
3 Y 0.5000 0.0000 0.5000
4 Y 0.5000 0.5000 0.0000
5 Er 0.0000 0.0000 0.5000
6 Er 0.0000 0.5000 0.0000
7 Er 0.5000 0.0000 0.0000
8 Er 0.5000 0.5000 0.5000
9 Ni 0.2500 0.2500 0.2500
10 Ni 0.2500 0.7500 0.7500
11 Ni 0.7500 0.2500 0.7500
12 Ni 0.7500 0.7500 0.2500
13 Ag 0.2500 0.2500 0.7500
14 Ag 0.2500 0.7500 0.2500
15 Ag 0.7500 0.2500 0.2500
16 Ag 0.7500 0.7500 0.7500

---

Entry 10:
Computed, not measured: a relaxed structure of ErZnNiAg at the PBE level of DFT.

The symmetry is F-43m, No. 216. For the formation energy from the elements, the calculation gives -20 kJ per mole of atoms. The density of states at the Fermi level is 13.05 states/eV per cell.

Lattice parameters (Å, degrees): 6.5583 6.5583 6.5583 90.00 90.00 90.00
Fractional coordinates of all 16 atoms:
1 Er 0.0000 0.0000 0.0000
2 Er 0.0000 0.5000 0.5000
3 Er 0.5000 0.0000 0.5000
4 Er 0.5000 0.5000 0.0000
5 Zn 0.0000 0.0000 0.5000
6 Zn 0.0000 0.5000 0.0000
7 Zn 0.5000 0.0000 0.0000
8 Zn 0.5000 0.5000 0.5000
9 Ni 0.2500 0.2500 0.7500
10 Ni 0.2500 0.7500 0.2500
11 Ni 0.7500 0.2500 0.2500
12 Ni 0.7500 0.7500 0.7500
13 Ag 0.2500 0.2500 0.2500
14 Ag 0.2500 0.7500 0.7500
15 Ag 0.7500 0.2500 0.7500
16 Ag 0.7500 0.7500 0.2500

---

Entry 11:
Computed, not measured: a relaxed structure of Er2NpAgO8 at the PBE level of DFT.

The symmetry is P-1, No. 2. The calculation puts the uncorrected formation energy at -2.44 eV/atom.

Lattice parameters (Å, degrees): 4.9878 5.0157 7.0462 85.00 85.24 85.89
Fractional coordinates of all 12 atoms:
1 Er 0.0323 0.0318 0.2365
2 Er 0.9677 0.9682 0.7635
3 Np 0.5000 0.5000 0.5000
4 Ag 0.5000 0.5000 0.0000
5 O 0.1999 0.7990 0.0006
6 O 0.2022 0.7917 0.5008
7 O 0.2889 0.2824 0.6779
8 O 0.3366 0.3349 0.2545
9 O 0.6634 0.6651 0.7455
10 O 0.7111 0.7176 0.3221
11 O 0.7978 0.2083 0.4992
12 O 0.8001 0.2010 0.9994

---

Entry 12:
Computed, not measured: a relaxed structure of Er3NpAg3S8 at the PBE level of DFT.

The symmetry is C2/m, No. 12. The density of states at the Fermi level is 11.20 states/eV per cell. The calculation puts the uncorrected formation energy at -1.27 eV/atom.

Lattice parameters (Å, degrees): 7.6627 7.6627 7.6871 117.32 117.32 62.76
Fractional coordinates of all 15 atoms:
1 Er 0.0000 0.0000 0.0000
2 Er 0.0000 0.5000 0.5000
3 Er 0.5000 0.0000 0.5000
4 Np 0.5000 0.5000 0.0000
5 Ag 0.0000 0.5000 0.0000
6 Ag 0.5000 0.0000 0.0000
7 Ag 0.5000 0.5000 0.5000
8 S 0.2469 0.2469 0.2542
9 S 0.2472 0.7444 0.7568
10 S 0.2556 0.2556 0.7457
11 S 0.2556 0.7528 0.2432
12 S 0.7444 0.2472 0.7568
13 S 0.7444 0.7444 0.2543
14 S 0.7528 0.2556 0.2432
15 S 0.7531 0.7531 0.7458